This record from Alexandria describes crystalline Li2CdTeSe4 at its relaxed geometry. The functional is PBE.

Unit cell a=8.014 b=8.014 c=8.014 alpha=120.45 beta=120.04 gamma=89.58
Fractional coordinates of all 16 atoms:
Li  0.000  0.000  0.000
Li  0.500  0.000  0.000
Li  0.500  0.000  0.500
Li  0.500  0.500  0.500
Cd  0.000  0.500  0.500
Cd  0.500  0.500  0.000
Te  0.000  0.000  0.500
Te  0.000  0.500  0.000
Se  0.241  0.240  0.001
Se  0.248  0.249  0.501
Se  0.248  0.747  0.999
Se  0.261  0.760  0.501
Se  0.739  0.240  0.499
Se  0.752  0.253  0.001
Se  0.752  0.751  0.499
Se  0.759  0.760  0.999

Calculated values
* mass density: 5219 kg/m³
* magnetization: 0.0000 μB per atom
* final energy: -3.303 eV per atom